TlAsPb after structural relaxation. Source: Alexandria via LeMat-Bulk, functional PBE-GGA.

```
TlAsPb
1.0
5.357 0.000 0.000
-2.679 4.639 0.000
0.000 0.000 3.344
Tl As Pb
1 1 1
direct
0.000 0.000 0.000
0.667 0.333 0.496
0.333 0.667 0.499
```

As for the energy relative to the lowest polymorph listed for this composition: 127 meV/atom. As for the space group: P3m1, No. 156. The density of states at the Fermi level comes out at 0.485 states/eV/atom. As for the total DFT energy (no corrections): -3.46 eV/atom. Its formation energy is 0.11 eV per atom.


Tl2AsPb after structural relaxation. Source: Alexandria via LeMat-Bulk, functional PBE-GGA.

```
Tl2AsPb
1.0
3.286 -5.206 0.000
3.286 5.206 0.000
-0.214 0.000 3.325
Tl As Pb
2 1 1
direct
0.000 0.500 0.000
0.500 0.000 0.000
0.000 0.000 0.500
0.500 0.500 0.500
```

As for the energy relative to the lowest polymorph listed for this composition: 110 meV/atom. As for the space group: C2/m, No. 12. The density of states at the Fermi level comes out at 0.501 states/eV/atom. As for the total DFT energy (no corrections): -3.14 eV/atom. Its formation energy is 0.14 eV per atom.


Tl2AsPb after structural relaxation. Source: Alexandria via LeMat-Bulk, functional PBE-GGA.

```
Tl2AsPb
1.0
1.813 1.047 10.219
-1.813 1.047 10.219
0.000 -2.094 10.219
Tl As Pb
2 1 1
direct
0.238 0.238 0.238
0.762 0.762 0.762
0.500 0.500 0.500
0.000 0.000 0.000
```

As for the energy relative to the lowest polymorph listed for this composition: 128 meV/atom. As for the space group: R-3m, No. 166. The density of states at the Fermi level comes out at 0.522 states/eV/atom. As for the total DFT energy (no corrections): -3.12 eV/atom. Its formation energy is 0.15 eV per atom.


Tl12AsPb3 after structural relaxation. Source: Alexandria via LeMat-Bulk, functional PBE-GGA.

```
Tl12AsPb3
1.0
4.980 0.000 0.000
0.000 4.980 0.000
0.000 0.000 19.500
Tl As Pb
12 1 3
direct
0.000 0.000 0.000
0.000 0.000 0.246
0.000 0.000 0.500
0.000 0.000 0.754
0.000 0.500 0.115
0.000 0.500 0.373
0.000 0.500 0.627
0.000 0.500 0.885
0.500 0.000 0.115
0.500 0.000 0.373
0.500 0.000 0.627
0.500 0.000 0.885
0.500 0.500 0.000
0.500 0.500 0.248
0.500 0.500 0.500
0.500 0.500 0.752
```

As for the space group: P4/mmm, No. 123. The density of states at the Fermi level comes out at 0.462 states/eV/atom. As for the total DFT energy (no corrections): -2.73 eV/atom. Its formation energy is 0.03 eV per atom.